[1]
## KGa2As2 (SCAN)

Data for a PBEsol-optimized structure of KGa2As2.

**Uncorrected energy**: -16.66 eV/atom

a = 4.320 Å, b = 4.320 Å, c = 7.413 Å
α = 106.94°, β = 106.94°, γ = 90.00°
Fractional coordinates of all 5 atoms:
Ga 0.750 0.250 0.500
Ga 0.250 0.750 0.500
As 0.645 0.645 0.290
K 0.000 0.000 0.000
As 0.355 0.355 0.710

[2]
## K2Ga2As3 (SCAN)

Data for a PBEsol-optimized structure of K2Ga2As3.

**Uncorrected energy**: -16.26 eV/atom

a = 6.701 Å, b = 13.751 Å, c = 15.600 Å
α = 90.42°, β = 90.00°, γ = 90.00°
Fractional coordinates of all 56 atoms:
As 0.954 0.526 0.333
K 0.034 0.922 0.608
Ga 0.211 0.092 0.731
As 0.454 0.474 0.167
As 0.054 0.165 0.602
K 0.971 0.857 0.005
As 0.461 0.970 0.323
Ga 0.256 0.593 0.259
Ga 0.762 0.183 0.181
Ga 0.724 0.685 0.826
As 0.039 0.970 0.823
As 0.046 0.474 0.667
K 0.549 0.347 0.981
Ga 0.789 0.908 0.269
As 0.706 0.755 0.680
Ga 0.738 0.183 0.681
As 0.206 0.245 0.820
As 0.794 0.755 0.180
K 0.966 0.078 0.392
Ga 0.262 0.817 0.319
K 0.063 0.443 0.899
As 0.064 0.672 0.882
Ga 0.238 0.817 0.819
As 0.664 0.253 0.324
Ga 0.224 0.315 0.674
K 0.029 0.143 0.995
As 0.446 0.165 0.102
As 0.546 0.526 0.833
As 0.539 0.030 0.677
Ga 0.244 0.593 0.759
Ga 0.289 0.092 0.231
K 0.937 0.557 0.101
K 0.951 0.347 0.481
As 0.164 0.747 0.176
Ga 0.756 0.407 0.241
K 0.534 0.078 0.892
Ga 0.776 0.685 0.326
Ga 0.711 0.908 0.769
As 0.436 0.672 0.382
As 0.961 0.030 0.177
As 0.336 0.747 0.676
As 0.564 0.328 0.618
K 0.466 0.922 0.108
As 0.936 0.328 0.118
K 0.529 0.857 0.505
K 0.437 0.443 0.399
K 0.049 0.653 0.519
K 0.451 0.653 0.019
As 0.946 0.835 0.398
As 0.836 0.253 0.824
K 0.471 0.143 0.495
K 0.563 0.557 0.601
Ga 0.276 0.315 0.174
Ga 0.744 0.407 0.741
As 0.554 0.835 0.898
As 0.294 0.245 0.320

[3]
## K2LiGaAs2 (SCAN)

Data for a PBEsol-optimized structure of K2LiGaAs2.

**Uncorrected energy**: -13.32 eV/atom

a = 6.186 Å, b = 9.822 Å, c = 9.822 Å
α = 101.80°, β = 90.00°, γ = 90.00°
Fractional coordinates of all 24 atoms:
Li 0.500 0.120 0.120
Ga 0.000 0.132 0.132
K 0.750 0.077 0.423
K 0.250 0.923 0.577
As 0.713 0.407 0.593
As 0.750 0.844 0.656
K 0.780 0.671 0.329
As 0.750 0.344 0.156
K 0.250 0.423 0.077
K 0.220 0.329 0.671
As 0.287 0.593 0.407
As 0.213 0.093 0.907
Li 0.500 0.880 0.880
K 0.720 0.171 0.829
K 0.280 0.829 0.171
Li 0.000 0.620 0.620
Ga 0.500 0.632 0.632
K 0.750 0.577 0.923
As 0.250 0.156 0.344
Ga 0.500 0.368 0.368
Li 0.000 0.380 0.380
Ga 0.000 0.868 0.868
As 0.787 0.907 0.093
As 0.250 0.656 0.844

[4]
## K2ScGaAs (SCAN)

Data for a PBEsol-optimized structure of K2ScGaAs.

**Uncorrected energy**: -12.99 eV/atom

a = 4.841 Å, b = 6.285 Å, c = 6.285 Å
α = 90.00°, β = 90.00°, γ = 90.00°
Site moments in Bohr magnetons follow the coordinates.
Fractional coordinates of all 5 atoms:
Sc 0.500 0.500 0.500  1.00
K 0.000 0.500 0.000  0.01
As 0.500 0.000 0.000  0.00
K 0.000 0.000 0.500  0.01
Ga 0.000 0.000 0.000  0.03

- Which of these has the lowest uncorrected energy?
  KGa2As2

Please write out number 3 again, unchanged.
## K2LiGaAs2 (SCAN)

Data for a PBEsol-optimized structure of K2LiGaAs2.

**Uncorrected energy**: -13.32 eV/atom

a = 6.186 Å, b = 9.822 Å, c = 9.822 Å
α = 101.80°, β = 90.00°, γ = 90.00°
Fractional coordinates of all 24 atoms:
Li 0.500 0.120 0.120
Ga 0.000 0.132 0.132
K 0.750 0.077 0.423
K 0.250 0.923 0.577
As 0.713 0.407 0.593
As 0.750 0.844 0.656
K 0.780 0.671 0.329
As 0.750 0.344 0.156
K 0.250 0.423 0.077
K 0.220 0.329 0.671
As 0.287 0.593 0.407
As 0.213 0.093 0.907
Li 0.500 0.880 0.880
K 0.720 0.171 0.829
K 0.280 0.829 0.171
Li 0.000 0.620 0.620
Ga 0.500 0.632 0.632
K 0.750 0.577 0.923
As 0.250 0.156 0.344
Ga 0.500 0.368 0.368
Li 0.000 0.380 0.380
Ga 0.000 0.868 0.868
As 0.787 0.907 0.093
As 0.250 0.656 0.844

- Which formula does entry 3 have?
  K2LiGaAs2